Record 1
Below is a relaxed Cd2TcPb crystal, with properties calculated at the GGA-PBE level.

Cell: 3.352 4.651 5.337 Å, 90.00 90.00 90.00°
Sites, in units of the cell vectors:
Tc  0.000  0.500  0.500
Cd  0.500  0.500  0.000
Cd  0.000  0.000  0.000
Pb  0.500  0.000  0.500

## Properties
- DFT formation energy: 0.512 eV per atom
- DOS(E_F): 2.719 states/eV per cell
- SG: Pmmm (47)


Record 2
Below is a relaxed Cd2TcPb crystal, with properties calculated at the GGA-PBE level.

Cell: 3.096 3.096 9.354 Å, 90.00 90.00 89.99°
Sites, in units of the cell vectors:
Cd  0.000  0.000  0.969
Cd  0.500  0.500  0.220
Tc  0.500  0.500  0.766
Pb  0.000  0.000  0.544

## Properties
- DFT formation energy: 0.447 eV per atom
- DOS(E_F): 2.974 states/eV per cell
- SG: P4mm (99)


Record 3
Below is a relaxed Cd2TcPb crystal, with properties calculated at the GGA-PBE level.

Cell: 8.301 8.301 6.487 Å, 50.22 50.22 90.00°
Sites, in units of the cell vectors:
Tc  0.250  0.750  0.500
Tc  0.500  0.500  0.000
Cd  0.578  0.125  0.250
Cd  0.875  0.828  0.750
Cd  0.375  0.422  0.750
Cd  0.172  0.625  0.250
Pb  0.000  0.000  0.000
Pb  0.750  0.250  0.500

## Properties
- DFT formation energy: 0.635 eV per atom
- DOS(E_F): 0.995 states/eV per cell
- SG: I-42d (122)


Record 4
Below is a relaxed Cd2TcPb crystal, with properties calculated at the GGA-PBE level.

Cell: 4.942 4.942 4.942 Å, 60.00 60.00 60.00°
Sites, in units of the cell vectors:
Cd  0.250  0.250  0.250
Cd  0.000  0.000  0.000
Pb  0.500  0.500  0.500
Tc  0.750  0.750  0.750

## Properties
- DFT formation energy: 0.631 eV per atom
- DOS(E_F): 2.752 states/eV per cell
- SG: F-43m (216)